The following is a DFT calculation (SCAN) of KZr3Pt at its PBEsol-relaxed geometry.

a b c (Å): 4.660 4.660 4.660
angles (deg): 90.00 90.00 90.00
Fractional positions:
K: 0.000 0.000 0.000
Zr: 0.000 0.000 0.500
Zr: 0.000 0.500 0.000
Zr: 0.500 0.000 0.000
Pt: 0.500 0.500 0.500

## Properties
Fermi-level density of states ... 6.91 states/eV/cell
Formation energy from the elements ... 1.814 eV/atom
Space-group type ... Pm-3m, No. 221


The following is a DFT calculation (SCAN) of ZnAg2Rh at its PBEsol-relaxed geometry.

a b c (Å): 5.386 5.386 2.777
angles (deg): 103.56 103.56 121.19
Fractional positions:
Zn: 0.000 0.000 0.000
Ag: 0.000 0.500 0.500
Ag: 0.500 0.000 0.500
Rh: 0.500 0.500 0.000

## Properties
Fermi-level density of states ... 1.74 states/eV/cell
Formation energy from the elements ... 0.064 eV/atom
Space-group type ... C2/m, No. 12


The following is a DFT calculation (SCAN) of NdSn6Ru4 at its PBEsol-relaxed geometry.

a b c (Å): 6.870 6.870 6.870
angles (deg): 120.23 120.23 89.61
Fractional positions:
Nd: 0.000 0.000 0.000
Sn: 0.000 0.500 0.500
Sn: 0.116 0.116 0.644
Sn: 0.473 0.473 0.356
Sn: 0.500 0.000 0.500
Sn: 0.527 0.884 0.000
Sn: 0.884 0.527 0.000
Ru: 0.251 0.592 0.000
Ru: 0.408 0.408 0.659
Ru: 0.592 0.251 0.000
Ru: 0.749 0.749 0.341

## Properties
Fermi-level density of states ... 6.17 states/eV/cell
Formation energy from the elements ... -0.376 eV/atom
Space-group type ... I-42m, No. 121